Compound: AcPmYEr
Source: Alexandria
Functional: GGA-PBE
Structure: relaxed Values from VASP.

Energy relative to the elements (meV per atom): 106
Relative energy among the computed polymorphs (meV per atom): 54

Quantum ESPRESSO input file:
```
&SYSTEM
  ibrav = 0, nat = 4, ntyp = 4
/
ATOMIC_SPECIES
Y 88.91 Y.upf
Ac 227.00 Ac.upf
Pm 145.00 Pm.upf
Er 167.26 Er.upf
ATOMIC_POSITIONS angstrom
Y -4.982 -4.886 -8.199
Ac 0.000 0.000 0.000
Pm -3.322 -3.257 -5.466
Er -1.661 -1.629 -2.733
CELL_PARAMETERS angstrom
-1.836 0.611 -5.532
0.173 -4.569 -3.666
-4.980 -2.557 -1.734
```

Compound: SrMoPt2
Source: Alexandria
Functional: GGA-PBE
Structure: relaxed Values from VASP.

Energy relative to the elements (meV per atom): 322
Relative energy among the computed polymorphs (meV per atom): 567

Quantum ESPRESSO input file:
```
&SYSTEM
  ibrav = 0, nat = 4, ntyp = 3
/
ATOMIC_SPECIES
Mo 95.94 Mo.upf
Pt 195.08 Pt.upf
Sr 87.62 Sr.upf
ATOMIC_POSITIONS angstrom
Mo -3.383 4.147 2.168
Pt 0.000 0.000 0.000
Pt -1.692 2.073 1.084
Sr -5.075 6.220 3.252
CELL_PARAMETERS angstrom
-2.387 3.939 -1.007
-4.096 0.890 2.158
-0.282 3.464 3.185
```

Compound: VZn2TcP
Source: Alexandria
Functional: GGA-PBE
Structure: relaxed Values from VASP.

Energy relative to the elements (meV per atom): 1044

Quantum ESPRESSO input file:
```
&SYSTEM
  ibrav = 0, nat = 5, ntyp = 4
/
ATOMIC_SPECIES
P 30.97 P.upf
Zn 65.41 Zn.upf
Tc 98.00 Tc.upf
V 50.94 V.upf
ATOMIC_POSITIONS angstrom
P 0.000 2.189 0.000
Zn 0.000 0.000 2.346
Zn 2.346 0.000 0.000
Tc 2.346 2.189 2.346
V 0.000 0.000 0.000
CELL_PARAMETERS angstrom
4.691 0.000 0.000
0.000 4.377 0.000
0.000 0.000 4.691
```